A geometry-optimized NaCr2Si2 structure, computed with GGA-PBE. Values from VASP.

Structure (Quantum ESPRESSO input):
```
&SYSTEM
  ibrav = 0, nat = 10, ntyp = 3
/
ATOMIC_SPECIES
Na 22.99 Na.upf
Cr 52.00 Cr.upf
Si 28.09 Si.upf
CELL_PARAMETERS angstrom
4.4810 0.0000 0.0000
0.0000 4.4810 0.0000
0.0000 0.0000 7.9167
ATOMIC_POSITIONS crystal
Na 0.0000 0.0000 0.0000
Na 0.5000 0.5000 0.5000
Cr 0.0000 0.0000 0.3748
Cr 0.0000 0.0000 0.6252
Cr 0.5000 0.5000 0.1252
Cr 0.5000 0.5000 0.8748
Si 0.0000 0.5000 0.2500
Si 0.0000 0.5000 0.7500
Si 0.5000 0.0000 0.2500
Si 0.5000 0.0000 0.7500
```

Calculated values
The raw formation energy comes out at 368 meV/atom. As for the crystal system: tetragonal. The total energy is -5.914 eV per atom. The excess energy over the best structure of this formula in the dataset comes out at 0.322 eV per atom. Its total moment is 0.000 Bohr magnetons per cell.